1.
## MoRu2Cl (PBE)

Data for a geometry-optimized MoRu2Cl structure. Values from VASP.

DOS(E_F), states/eV per cell: 3.73
ΔE to the lowest computed polymorph, meV per atom: 177
Crystal system: monoclinic
Raw formation energy, eV/atom: 0.4665

The structure in Quantum ESPRESSO input format:
```
&SYSTEM
  ibrav = 0, nat = 4, ntyp = 3
/
ATOMIC_SPECIES
Mo 95.94 Mo.upf
Cl 35.45 Cl.upf
Ru 101.07 Ru.upf
ATOMIC_POSITIONS crystal
Mo 0.500 0.750 0.750
Cl 0.500 0.250 0.250
Ru 0.000 0.126 0.009
Ru 0.000 0.374 0.491
CELL_PARAMETERS angstrom
-2.351 -1.874 -2.694
2.192 -1.719 -0.717
-0.255 -4.201 3.145
```

2.
## MoRu2Cl (PBE)

Data for a geometry-optimized MoRu2Cl structure. Values from VASP.

DOS(E_F), states/eV per cell: 2.93
ΔE to the lowest computed polymorph, meV per atom: 241
Crystal system: monoclinic
Raw formation energy, eV/atom: 0.5312

The structure in Quantum ESPRESSO input format:
```
&SYSTEM
  ibrav = 0, nat = 4, ntyp = 3
/
ATOMIC_SPECIES
Ru 101.07 Ru.upf
Mo 95.94 Mo.upf
Cl 35.45 Cl.upf
ATOMIC_POSITIONS crystal
Ru 0.987 0.987 0.967
Ru 0.717 0.717 0.787
Mo 0.291 0.291 0.243
Cl 0.506 0.506 0.504
CELL_PARAMETERS angstrom
5.145 -0.005 0.003
4.337 2.768 0.003
0.068 0.020 4.311
```